A relaxed CoOs2Ru crystal, computed with PBE.

Cell lengths 5.3085, 7.5533, 2.6719 Å; angles 90.00, 90.00, 90.00 degrees
Space group Cmmm (No. 65)
Symmetry-distinct sites (fractional):
Co 0.0000 0.0000 0.0000
Os 0.2500 0.2500 0.5000
Ru 0.0000 0.5000 0.0000

Results
Formation enthalpy at 0 K, eV per formula unit: 0.76
Total magnetization, μB/f.u.: 0.0



A relaxed VPt2Rh8 crystal, computed with PBE.

Cell lengths 4.7193, 4.7197, 7.2177 Å; angles 96.20, 90.03, 99.60 degrees
Space group P-1 (No. 2)
Symmetry-distinct sites (fractional):
V 0.0000 0.0000 0.0000
Pt 0.3580 0.1796 0.7335
Rh 0.0907 0.5453 0.1798
Rh 0.1821 0.0907 0.3600
Rh 0.2702 0.6334 0.5466
Rh 0.4530 0.7299 0.9105

Results
Formation enthalpy at 0 K, eV per formula unit: -1.63
Total magnetization, μB/f.u.: 0.0



A relaxed KMg14Si crystal, computed with PBE.

Cell lengths 10.2609, 6.3620, 11.6818 Å; angles 90.00, 90.00, 90.00 degrees
Space group Amm2 (No. 38)
Symmetry-distinct sites (fractional):
K 0.0000 0.0000 0.0000
Mg 0.0000 0.2416 0.2517
Mg 0.2215 0.0000 0.6365
Mg 0.2540 0.2439 0.3955
Mg 0.2633 0.0000 0.1543
Mg 0.5000 0.0000 0.4898
Mg 0.5000 0.0000 0.9835
Mg 0.5000 0.2435 0.7355
Si 0.0000 0.0000 0.4546

Results
Total magnetization, μB/f.u.: 0.0
Raw formation energy, kcal/mol of atoms: 2.4



A relaxed NaNiS2N crystal, computed with PBE.

Cell lengths 4.8823, 4.8823, 3.4040 Å; angles 90.00, 90.00, 90.00 degrees
Space group P4/mmm (No. 123)
Symmetry-distinct sites (fractional):
Na 0.0000 0.0000 0.0000
Ni 0.5000 0.5000 0.5000
S 0.0000 0.5000 0.5000
N 0.5000 0.5000 0.0000

Results
Total magnetization, μB/f.u.: 0.0
Raw formation energy, kcal/mol of atoms: 6.5